[1]
## La6Os2PdCl3 (PBE)

Data for a relaxed structure of La6Os2PdCl3.

POSCAR file:
```
La6Os2PdCl3
1.0
-1.286 -3.955 -0.480
6.719 -1.466 -5.928
3.724 -0.115 9.234
La Cl Os Pd
6 3 2 1
Direct
0.984 0.761 0.968 La
0.678 0.559 0.356 La
0.338 0.884 0.676 La
0.662 0.116 0.324 La
0.322 0.441 0.644 La
0.016 0.239 0.032 La
0.500 0.500 0.000 Cl
0.169 0.834 0.338 Cl
0.831 0.166 0.662 Cl
0.164 0.331 0.327 Os
0.836 0.669 0.673 Os
0.500 0.000 0.000 Pd
```

Summary:
The space group is C2/m (12).

***

[2]
## LaPmOsCl (PBE)

Data for a relaxed structure of LaPmOsCl.

POSCAR file:
```
LaPmOsCl
1.0
-3.221 -2.524 0.191
3.792 -1.477 0.475
0.392 3.371 7.333
Pm La Cl Os
1 1 1 1
Direct
0.107 0.951 0.074 Pm
0.506 0.151 0.672 La
0.961 0.379 0.354 Cl
0.304 0.550 0.869 Os
```

Summary:
The space group is R3m (160).

***

Calculated formation energy (no corrections) (kJ per mole of atoms), listed in the same order as above: -102.29; -75.43
Calculated D(E_F) (states/eV/cell), listed in the same order as above: 5.72; 2.92